! Pm3SiC (PBE-GGA, relaxed); values from VASP
&SYSTEM
  ibrav = 0, nat = 20, ntyp = 3
/
ATOMIC_SPECIES
Pm 145.00 Pm.upf
Si 28.09 Si.upf
C 12.01 C.upf
ATOMIC_POSITIONS crystal
Pm 0.750 0.197 0.290
Pm 0.250 0.662 0.993
Pm 0.250 0.023 0.103
Pm 0.250 0.523 0.397
Pm 0.250 0.162 0.507
Pm 0.750 0.477 0.603
Pm 0.250 0.303 0.790
Pm 0.750 0.977 0.897
Pm 0.750 0.338 0.007
Pm 0.750 0.697 0.210
Pm 0.750 0.838 0.493
Pm 0.250 0.803 0.710
Si 0.250 0.912 0.327
Si 0.750 0.088 0.673
Si 0.750 0.588 0.827
Si 0.250 0.412 0.173
C 0.250 0.662 0.561
C 0.750 0.338 0.439
C 0.750 0.838 0.061
C 0.250 0.162 0.939
CELL_PARAMETERS angstrom
3.970 0.000 0.000
0.000 8.205 0.000
0.000 0.000 14.319
! - Crystal system: orthorhombic
! - Mass density: 6.77 g cm⁻³
! - Energy above the most stable polymorph in this dataset: 0.000 eV per atom